Compound: CaHfP2Cl
Source: the Alexandria database
Functional: PBE
Structure: optimized geometry

POSCAR file:
```
CaHfP2Cl
1.0
5.013 0.000 0.000
0.000 5.013 0.000
0.000 0.000 4.968
Ca Hf P Cl
1 1 2 1
Cartesian
0.000 0.000 0.000
2.507 2.507 2.484
0.000 2.507 2.484
2.507 0.000 2.484
2.507 2.507 0.000
```

## Properties
Fermi-level density of states   2.96 states/eV per cell
Total DFT energy (no corrections)   -5.77 eV per atom
Formation energy from raw total energies   -0.8489 eV per atom

---

Compound: Er2HgH2
Source: the Alexandria database
Functional: PBE
Structure: optimized geometry

POSCAR file:
```
Er2HgH2
1.0
-1.853 1.853 5.985
1.853 -1.853 5.985
1.853 1.853 -5.985
Er Hg H
2 1 2
Cartesian
0.000 0.000 1.802
0.000 0.000 10.168
0.000 0.000 5.985
1.853 0.000 2.992
0.000 1.853 2.992
```

## Properties
Fermi-level density of states   2.83 states/eV per cell
Total DFT energy (no corrections)   -3.87 eV per atom

---

Compound: Hf6Ni2Ir
Source: the Alexandria database
Functional: PBE
Structure: optimized geometry

POSCAR file:
```
Hf6Ni2Ir
1.0
-4.271 4.304 4.574
4.271 -4.304 4.574
4.271 4.304 -4.574
Hf Ni Ir
12 4 2
Cartesian
4.271 -2.543 2.995
2.619 0.000 2.240
5.923 0.000 2.240
2.706 2.444 0.000
5.836 2.444 0.000
0.000 1.760 1.579
4.271 2.543 2.995
-1.565 1.860 4.574
1.565 1.860 4.574
-1.652 4.304 2.334
1.652 4.304 2.334
0.000 6.847 1.579
1.280 0.000 0.000
7.261 0.000 0.000
0.000 0.000 3.375
0.000 0.000 5.773
4.271 0.000 0.000
0.000 4.304 0.000
```

## Properties
Fermi-level density of states   15.67 states/eV per cell
Total DFT energy (no corrections)   -9.35 eV per atom
Formation enthalpy at 0 K   -442 meV per atom

---

Compound: TbNdEr2P4
Source: the Alexandria database
Functional: PBE
Structure: optimized geometry

POSCAR file:
```
TbNdEr2P4
1.0
6.985 0.000 0.000
0.000 4.036 0.000
-2.329 0.000 6.588
Tb Nd Er P
1 1 2 4
Cartesian
0.000 0.000 0.000
-1.165 2.018 3.294
2.328 0.000 3.294
3.492 2.018 0.000
1.213 2.018 1.637
0.048 0.000 4.986
4.607 0.000 1.601
3.443 2.018 4.951
```

## Properties
Fermi-level density of states   0.82 states/eV per cell
Total DFT energy (no corrections)   -6.60 eV per atom
Formation enthalpy at 0 K   -1584 meV per atom

---

Compound: HoThTe2
Source: the Alexandria database
Functional: PBE
Structure: optimized geometry

POSCAR file:
```
HoThTe2
1.0
0.000 3.805 3.805
3.805 0.000 3.805
3.805 3.805 0.000
Ho Th Te
1 1 2
Cartesian
0.000 0.000 0.000
3.805 3.805 3.805
1.902 1.902 1.902
5.707 5.707 5.707
```

## Properties
Fermi-level density of states   3.84 states/eV per cell
Total DFT energy (no corrections)   -5.67 eV per atom
Formation energy from raw total energies   -1.0977 eV per atom

---

Compound: Pr2PuSn3Pt4
Source: the Alexandria database
Functional: PBE
Structure: optimized geometry

POSCAR file:
```
Pr2PuSn3Pt4
1.0
4.645 0.000 0.000
0.000 4.645 0.000
0.000 0.000 11.025
Pr Pu Sn Pt
2 1 3 4
Cartesian
0.000 2.323 2.439
2.323 0.000 8.586
0.000 0.000 5.513
0.000 2.323 9.668
2.323 0.000 1.357
2.323 2.323 5.513
0.000 0.000 0.000
0.000 2.323 7.068
2.323 0.000 3.957
2.323 2.323 0.000
```

## Properties
Fermi-level density of states   11.09 states/eV per cell
Total DFT energy (no corrections)   -6.82 eV per atom
Formation enthalpy at 0 K   -814 meV per atom

---

Compound: TbNi5Rh
Source: the Alexandria database
Functional: PBE
Structure: optimized geometry

POSCAR file:
```
TbNi5Rh
1.0
7.881 0.000 0.000
0.000 4.873 0.000
0.000 0.000 9.931
Tb Ni Rh
4 20 4
Cartesian
1.916 1.218 0.602
2.024 3.655 5.568
5.857 1.218 4.363
5.964 3.655 9.329
0.486 3.655 0.963
0.551 0.019 3.087
0.551 2.417 3.087
0.773 1.218 5.167
1.420 1.218 7.504
2.521 3.655 2.538
3.168 3.655 0.201
3.390 2.456 8.053
3.390 4.854 8.053
3.454 1.218 5.929
4.426 3.655 4.002
4.491 0.019 1.879
4.491 2.417 1.879
4.713 1.218 9.730
5.360 1.218 7.393
6.461 3.655 2.428
7.108 3.655 4.765
7.330 2.456 6.844
7.330 4.854 6.844
7.394 1.218 8.968
1.125 3.655 8.484
2.815 1.218 3.519
5.065 3.655 6.413
6.756 1.218 1.447
```

## Properties
Fermi-level density of states   36.80 states/eV per cell
Total DFT energy (no corrections)   -6.09 eV per atom
Formation enthalpy at 0 K   -252 meV per atom

---

Compound: Pr4NdDy2Ho2
Source: the Alexandria database
Functional: PBE
Structure: optimized geometry

POSCAR file:
```
Pr4NdDy2Ho2
1.0
7.709 -2.563 0.000
7.709 2.563 0.000
-2.542 0.000 7.698
Pr Nd Dy Ho
4 1 2 2
Cartesian
-0.012 0.000 2.554
2.567 0.000 5.149
10.308 0.000 2.549
12.887 0.000 5.144
7.709 0.000 0.000
5.147 0.000 2.551
7.729 0.000 5.148
0.056 0.000 7.690
12.820 0.000 0.008
```

## Properties
Fermi-level density of states   13.22 states/eV per cell
Total DFT energy (no corrections)   -4.68 eV per atom
Formation enthalpy at 0 K   19 meV per atom

---

Compound: Cs2InHg2I6
Source: the Alexandria database
Functional: PBE
Structure: optimized geometry

POSCAR file:
```
Cs2InHg2I6
1.0
7.503 -4.499 0.000
7.503 4.499 0.000
-5.283 0.000 8.349
Cs In Hg I
2 1 2 6
Cartesian
2.260 0.000 1.612
7.463 0.000 6.737
-2.642 0.000 4.174
2.528 0.000 7.022
7.195 0.000 1.327
5.457 2.388 1.954
0.378 0.000 5.003
4.266 2.388 6.395
5.457 -2.388 1.954
9.345 0.000 3.346
4.266 -2.388 6.395
```

## Properties
Fermi-level density of states   3.39 states/eV per cell
Total DFT energy (no corrections)   -2.06 eV per atom
Formation energy from raw total energies   -0.7563 eV per atom

---

Compound: NdPuCo
Source: the Alexandria database
Functional: PBE
Structure: optimized geometry

POSCAR file:
```
NdPuCo
1.0
4.235 0.000 0.000
-2.118 3.668 0.000
0.000 0.000 4.635
Nd Pu Co
1 1 1
Cartesian
0.000 0.000 0.000
2.118 1.223 2.317
0.000 2.445 2.317
```

## Properties
Fermi-level density of states   8.11 states/eV per cell
Total DFT energy (no corrections)   -8.57 eV per atom
Formation enthalpy at 0 K   163 meV per atom

---

Compound: BaSrAc
Source: the Alexandria database
Functional: PBE
Structure: optimized geometry

POSCAR file:
```
BaSrAc
1.0
-2.066 2.066 9.174
2.066 -2.066 9.174
2.066 2.066 -9.174
Ba Sr Ac
1 1 1
Cartesian
0.000 0.000 0.000
0.000 0.000 5.868
0.000 0.000 12.143
```

## Properties
Fermi-level density of states   4.44 states/eV per cell
Total DFT energy (no corrections)   -2.50 eV per atom
Formation enthalpy at 0 K   71 meV per atom

---

Compound: Ti2V3Ga4
Source: the Alexandria database
Functional: PBE
Structure: optimized geometry

POSCAR file:
```
Ti2V3Ga4
1.0
0.000 4.303 6.369
2.553 0.000 6.369
2.553 4.303 0.000
Ti V Ga
2 3 4
Cartesian
2.553 4.303 1.482
2.553 4.303 11.256
1.277 2.151 0.000
1.277 2.151 6.369
2.553 4.303 6.369
2.553 2.926 4.165
2.553 5.680 4.165
2.553 2.926 8.573
2.553 5.680 8.573
```

## Properties
Fermi-level density of states   11.43 states/eV per cell
Total DFT energy (no corrections)   -6.35 eV per atom
Formation enthalpy at 0 K   -214 meV per atom

---

Compound: Li3Zn4Ni
Source: the Alexandria database
Functional: PBE
Structure: optimized geometry

POSCAR file:
```
Li3Zn4Ni
1.0
0.000 2.955 6.274
2.942 0.000 6.274
2.942 2.955 0.000
Li Zn Ni
3 4 1
Cartesian
0.000 0.000 0.000
2.942 2.955 3.217
2.942 2.955 9.332
1.471 1.478 1.463
1.471 1.478 4.811
4.414 4.433 7.737
4.414 4.433 11.086
2.942 2.955 6.274
```

## Properties
Fermi-level density of states   2.34 states/eV per cell
Total DFT energy (no corrections)   -2.28 eV per atom
Formation enthalpy at 0 K   -200 meV per atom

---

Compound: CaScSi2
Source: the Alexandria database
Functional: PBE
Structure: optimized geometry

POSCAR file:
```
CaScSi2
1.0
3.129 0.000 0.000
0.000 3.965 0.000
-0.014 0.000 6.491
Ca Sc Si
1 1 2
Cartesian
0.000 0.000 0.000
-0.007 0.000 3.245
1.560 1.982 1.946
1.555 1.982 4.544
```

## Properties
Fermi-level density of states   2.42 states/eV per cell
Total DFT energy (no corrections)   -5.25 eV per atom
Formation energy from raw total energies   -0.4509 eV per atom

---

Compound: Li2AgHg
Source: the Alexandria database
Functional: PBE
Structure: optimized geometry

POSCAR file:
```
Li2AgHg
1.0
4.710 0.000 0.000
0.000 4.710 0.000
0.000 0.000 3.094
Li Ag Hg
2 1 1
Cartesian
0.000 2.355 0.000
2.355 0.000 0.000
0.000 0.000 1.547
2.355 2.355 1.547
```

## Properties
Fermi-level density of states   1.23 states/eV per cell
Total DFT energy (no corrections)   -2.03 eV per atom
Formation enthalpy at 0 K   -283 meV per atom

---

Compound: Pr8Dy5Cd
Source: the Alexandria database
Functional: PBE
Structure: optimized geometry

POSCAR file:
```
Pr8Dy5Cd
1.0
7.319 -4.529 0.000
7.319 4.529 0.000
-5.574 0.000 7.304
Pr Dy Cd
8 5 1
Cartesian
-1.313 0.000 3.055
-1.403 0.557 6.980
2.825 -1.192 2.570
0.206 -2.301 4.794
10.466 0.557 0.324
6.239 -1.192 4.734
10.376 0.000 4.249
8.857 -2.301 2.510
7.319 3.852 0.000
1.851 0.820 5.540
7.212 0.820 1.764
5.892 -2.119 0.873
3.171 -2.119 6.431
4.532 1.495 3.652
```

## Properties
Fermi-level density of states   20.10 states/eV per cell
Total DFT energy (no corrections)   -4.31 eV per atom
Formation enthalpy at 0 K   133 meV per atom

---

Compound: LiLaGaPb
Source: the Alexandria database
Functional: PBE
Structure: optimized geometry

POSCAR file:
```
LiLaGaPb
1.0
0.000 3.718 3.718
3.718 0.000 3.718
3.718 3.718 0.000
Li La Ga Pb
1 1 1 1
Cartesian
0.000 0.000 0.000
3.718 3.718 3.718
1.859 1.859 1.859
5.577 5.577 5.577
```

## Properties
Fermi-level density of states   2.65 states/eV per cell
Total DFT energy (no corrections)   -3.78 eV per atom
Formation enthalpy at 0 K   -384 meV per atom

---

Compound: CrOs5
Source: the Alexandria database
Functional: PBE
Structure: optimized geometry

POSCAR file:
```
CrOs5
1.0
5.049 0.000 0.000
-2.524 4.372 0.000
0.000 0.000 4.495
Cr Os
1 5
Cartesian
0.000 0.000 0.000
-1.262 2.186 2.248
0.000 2.915 0.000
2.524 0.000 2.248
1.262 2.186 2.248
2.524 1.457 0.000
```

## Properties
Fermi-level density of states   10.32 states/eV per cell
Total DFT energy (no corrections)   -10.07 eV per atom
Formation enthalpy at 0 K   896 meV per atom

---

Compound: RbErAu2
Source: the Alexandria database
Functional: PBE
Structure: optimized geometry

POSCAR file:
```
RbErAu2
1.0
3.698 0.000 0.000
0.000 3.698 0.000
0.000 0.000 8.371
Rb Er Au
1 1 2
Cartesian
0.000 0.000 0.000
0.000 0.000 4.185
1.849 1.849 2.696
1.849 1.849 5.675
```

## Properties
Fermi-level density of states   2.57 states/eV per cell
Total DFT energy (no corrections)   -3.58 eV per atom
Formation enthalpy at 0 K   -561 meV per atom

---

Compound: AlVH2Pd
Source: the Alexandria database
Functional: PBE
Structure: optimized geometry

POSCAR file:
```
AlVH2Pd
1.0
3.509 0.000 0.000
0.000 3.509 0.000
0.000 0.000 4.917
Al V H Pd
1 1 2 1
Cartesian
0.000 0.000 0.000
1.755 1.755 0.000
0.000 1.755 2.459
1.755 0.000 2.459
0.000 0.000 2.459
```

## Properties
Fermi-level density of states   2.41 states/eV per cell
Total DFT energy (no corrections)   -4.52 eV per atom

---

Compound: CoAsPt2
Source: the Alexandria database
Functional: PBE
Structure: optimized geometry

POSCAR file:
```
CoAsPt2
1.0
-1.948 1.948 3.929
1.948 -1.948 3.929
1.948 1.948 -3.929
Co As Pt
1 1 2
Cartesian
0.000 0.000 0.000
0.000 0.000 3.929
1.948 0.000 1.965
0.000 1.948 1.965
```

## Properties
Fermi-level density of states   3.53 states/eV per cell
Total DFT energy (no corrections)   -5.95 eV per atom
Formation enthalpy at 0 K   13 meV per atom

---

Compound: LaPmTh
Source: the Alexandria database
Functional: PBE
Structure: optimized geometry

POSCAR file:
```
LaPmTh
1.0
3.642 0.000 0.000
0.000 3.642 0.000
0.000 0.000 15.567
La Pm Th
2 2 2
Cartesian
0.910 0.910 1.330
2.731 2.731 14.237
0.910 0.910 11.485
2.731 2.731 4.082
0.910 0.910 6.588
2.731 2.731 8.979
```

## Properties
Fermi-level density of states   9.30 states/eV per cell
Total DFT energy (no corrections)   -5.68 eV per atom
Formation enthalpy at 0 K   23 meV per atom

---

Compound: TmPuPaSn
Source: the Alexandria database
Functional: PBE
Structure: optimized geometry

POSCAR file:
```
TmPuPaSn
1.0
0.000 3.696 3.696
3.696 0.000 3.696
3.696 3.696 0.000
Tm Pu Pa Sn
1 1 1 1
Cartesian
0.000 0.000 0.000
3.696 3.696 3.696
1.848 1.848 1.848
5.545 5.545 5.545
```

## Properties
Fermi-level density of states   5.57 states/eV per cell
Total DFT energy (no corrections)   -8.12 eV per atom
Formation enthalpy at 0 K   -44 meV per atom

---

Compound: LiTb3Pm4Se8
Source: the Alexandria database
Functional: PBE
Structure: optimized geometry

POSCAR file:
```
LiTb3Pm4Se8
1.0
4.123 2.380 6.778
-4.123 2.380 6.778
0.000 -4.761 6.778
Li Tb Pm Se
1 3 4 8
Cartesian
0.000 0.000 0.000
-2.061 -1.190 6.778
-2.061 1.190 13.556
0.000 2.380 6.778
-4.123 0.000 10.167
-2.061 1.190 3.389
2.061 1.190 3.389
0.000 0.000 10.167
0.000 -2.430 8.377
-2.104 1.215 8.377
-2.104 -1.215 11.957
0.000 0.000 5.144
0.000 0.000 15.189
2.104 1.215 8.377
2.104 -1.215 11.957
0.000 2.430 11.957
```

## Properties
Fermi-level density of states   7.84 states/eV per cell
Total DFT energy (no corrections)   -5.70 eV per atom
Formation energy from raw total energies   -1.7864 eV per atom